First-principles (PBE-GGA) data for a relaxed Li6CuAg2 crystal, as listed in Alexandria via LeMat-Bulk.

Formation enthalpy at 0 K   -0.93 eV per formula unit
Volume   141.18 Å³/f.u.

Lattice parameters (Å, degrees): 7.6690 7.6690 2.7718 90.00 90.00 120.00
Last column: nearest neighbours and their distance in Å.
Space group P6/mmm (No. 191)
One atom of each set of equivalent atoms:
1 Li 0.0000 0.3291 0.0000 (multiplicity 6)  5 Li 2.52-2.77
2 Cu 0.0000 0.0000 0.5000 (multiplicity 1)  2 Cu 2.77, 12 Li 2.88
3 Ag 0.3333 0.6667 0.5000 (multiplicity 2)  2 Ag 2.77, 12 Li 2.92